# 1
Computed, not measured: a relaxed structure of Li2DySc at the GGA-PBE level of DFT. Values from VASP.

Quantum ESPRESSO input file:
```
&SYSTEM
  ibrav = 0, nat = 4, ntyp = 3
/
ATOMIC_SPECIES
Li 6.94 Li.upf
Dy 162.50 Dy.upf
Sc 44.96 Sc.upf
CELL_PARAMETERS angstrom
0.000 3.595 3.595
3.595 0.000 3.595
3.595 3.595 0.000
ATOMIC_POSITIONS crystal
Li 0.250 0.250 0.250
Li 0.750 0.750 0.750
Dy 0.000 0.000 0.000
Sc 0.500 0.500 0.500
```

E_tot (eV/atom): -3.50
Formation enthalpy at 0 K (meV per atom): 189
Total magnetic moment (μB per cell): 0.00
Volume (A^3/atom): 23.231
D(E_F) (states/eV/f.u.): 4.5
Energy above the lowest structure with this stoichiometry (eV per formula unit): 0.01


# 2
Computed, not measured: a relaxed structure of Sb2IrSe at the GGA-PBE level of DFT. Values from VASP.

Quantum ESPRESSO input file:
```
&SYSTEM
  ibrav = 0, nat = 4, ntyp = 3
/
ATOMIC_SPECIES
Sb 121.76 Sb.upf
Ir 192.22 Ir.upf
Se 78.96 Se.upf
CELL_PARAMETERS angstrom
5.130 -1.914 0.000
5.130 1.914 0.000
-1.934 0.000 4.927
ATOMIC_POSITIONS crystal
Sb 0.000 0.000 0.000
Sb 0.165 0.165 0.584
Ir 0.444 0.444 0.643
Se 0.832 0.832 0.297
```

E_tot (eV/atom): -5.17
Total magnetic moment (μB per cell): 0.00
Volume (A^3/atom): 24.189
D(E_F) (states/eV/f.u.): 1.6
Formation energy without anion corrections (eV/atom): -0.0219